## A
Compound: Y2Mg2Zn
Source: the Alexandria database
Functional: PBE
Structure: optimized geometry

Summary:
**SG**: No. 127

Cell lengths 7.044, 7.044, 5.135 Å; angles 90.00, 90.00, 90.00 degrees
Sites, in units of the cell vectors:
Y (0.173, 0.327, 0.000)
Y (0.327, 0.827, 0.000)
Y (0.673, 0.173, 0.000)
Y (0.827, 0.673, 0.000)
Mg (0.141, 0.641, 0.500)
Mg (0.359, 0.141, 0.500)
Mg (0.641, 0.859, 0.500)
Mg (0.859, 0.359, 0.500)
Zn (0.000, 0.000, 0.500)
Zn (0.500, 0.500, 0.500)

## B
Compound: Y2Mg2Zn
Source: the Alexandria database
Functional: PBE
Structure: optimized geometry

Summary:
**SG**: No. 65

Cell lengths 11.249, 11.249, 3.366 Å; angles 90.00, 90.00, 162.24 degrees
Sites, in units of the cell vectors:
Y (0.085, 0.915, 0.000)
Y (0.915, 0.085, 0.000)
Mg (0.308, 0.692, 0.500)
Mg (0.692, 0.308, 0.500)
Zn (0.500, 0.500, 0.500)

Energy relative to the most stable one, in kJ/mol of atoms: A 6.6; B 0.0

## A
Compound: YMg2Zr
Source: the Alexandria database
Functional: PBE
Structure: optimized geometry

Summary:
**SG**: No. 225

Cell lengths 5.166, 5.166, 5.166 Å; angles 60.00, 60.00, 60.00 degrees
Sites, in units of the cell vectors:
Y (0.000, 0.000, 0.000)
Mg (0.250, 0.250, 0.250)
Mg (0.750, 0.750, 0.750)
Zr (0.500, 0.500, 0.500)

## B
Compound: YMg2Zr
Source: the Alexandria database
Functional: PBE
Structure: optimized geometry

Summary:
**SG**: No. 12

Cell lengths 6.328, 6.328, 3.096 Å; angles 100.15, 100.15, 121.04 degrees
Sites, in units of the cell vectors:
Y (0.000, 0.000, 0.000)
Mg (0.000, 0.500, 0.500)
Mg (0.500, 0.000, 0.500)
Zr (0.500, 0.500, 0.000)

Energy relative to the most stable one, in kJ/mol of atoms: A 0.0; B 8.8

## A
Compound: YMg2Zr
Source: the Alexandria database
Functional: PBE
Structure: optimized geometry

Summary:
**SG**: No. 65

Cell lengths 5.174, 5.174, 3.632 Å; angles 90.00, 90.00, 90.20 degrees
Sites, in units of the cell vectors:
Y (0.000, 0.000, 0.000)
Mg (0.000, 0.500, 0.500)
Mg (0.500, 0.000, 0.500)
Zr (0.500, 0.500, 0.000)

## B
Compound: YMg2Zr
Source: the Alexandria database
Functional: PBE
Structure: optimized geometry

Summary:
**SG**: No. 119

Cell lengths 5.770, 5.770, 5.770 Å; angles 133.51, 133.51, 67.85 degrees
Sites, in units of the cell vectors:
Y (0.000, 0.000, 0.000)
Mg (0.500, 0.500, 0.000)
Mg (0.750, 0.250, 0.500)
Zr (0.250, 0.750, 0.500)

Energy relative to the most stable one, in kJ/mol of atoms: A 0.0; B 9.0